A relaxed structure of BMo2PI, computed with PBE.

The structure in CIF format:
```
data_BMo2PI
_chemical_formula_sum 'B1 Mo2 P1 I1'
_space_group_name_H-M_alt 'P 4/m m m'
_space_group_IT_number 123
_space_group_name_Hall '-P 4 2'
_cell_length_a 4.367
_cell_length_b 4.367
_cell_length_c 4.440
_cell_angle_alpha 90.00
_cell_angle_beta 90.00
_cell_angle_gamma 90.00
loop_
_atom_site_label
_atom_site_fract_x
_atom_site_fract_y
_atom_site_fract_z
B1 0.000 0.000 0.000
Mo1 0.000 0.500 0.000
P1 0.500 0.500 0.500
I1 0.000 0.000 0.500
```

Computed properties:
**Crystal system**: tetragonal
**Formation energy from raw total energies**: 1312.3 meV/atom
**DOS at the Fermi energy**: 5.18 states/eV/cell